KVBr6 (PBE-GGA, relaxed); total magnetization = 0.00 μB/cell; energy relative to the elements, uncorrected = -0.81 eV per atom; density = 2.4 Mg/m³; calculated volume = 386.68 Å³/cell; SG = Fm-3m, No. 225
1.0
0.000 5.782 5.782
5.782 0.000 5.782
5.782 5.782 0.000
K V Br
1 1 6
direct
0.000 0.000 0.000
0.500 0.500 0.500
0.288 0.288 0.712
0.288 0.712 0.288
0.288 0.712 0.712
0.712 0.288 0.288
0.712 0.288 0.712
0.712 0.712 0.288